[1]
Material: Al2PAu
Method: DFT, PBE
State: relaxed

Results
**SG**: Pmmm
**Size of the total moment**: 0.000 μB per cell

a b c (Å): 3.353 2.823 7.228
angles (deg): 90.01 90.00 90.00
Atoms (fractional coordinates):
Au: 0.500 0.250 0.250
Al: 0.000 0.750 0.006
Al: 0.000 0.750 0.494
P: 0.500 0.750 0.750

***

[2]
Material: AlPAu2
Method: DFT, PBE
State: relaxed

Results
**ΔE to the lowest computed polymorph**: 0.298 eV per formula unit
**SG**: C2/m
**Size of the total moment**: 0.000 μB per cell

a b c (Å): 4.262 4.262 5.595
angles (deg): 76.48 76.48 45.53
Atoms (fractional coordinates):
Au: 0.997 0.997 0.006
Au: 0.503 0.503 0.494
Al: 0.250 0.250 0.250
P: 0.750 0.750 0.750

***

[3]
Material: Al2PAu
Method: DFT, PBE
State: relaxed

Results
**SG**: R-3m
**Size of the total moment**: 0.000 μB per cell

a b c (Å): 6.665 6.665 6.665
angles (deg): 31.00 31.00 31.00
Atoms (fractional coordinates):
Al: 0.007 0.007 0.007
Al: 0.493 0.493 0.493
Au: 0.250 0.250 0.250
P: 0.750 0.750 0.750

***

[4]
Material: AlPAu2
Method: DFT, PBE
State: relaxed

Results
**ΔE to the lowest computed polymorph**: 0.631 eV per formula unit
**SG**: Cmm2
**Size of the total moment**: 0.000 μB per cell

a b c (Å): 2.975 2.975 7.777
angles (deg): 90.00 90.00 100.30
Atoms (fractional coordinates):
Al: 0.500 0.500 0.739
P: 0.000 0.000 0.530
Au: 0.000 0.000 0.972
Au: 0.500 0.500 0.259

***

[5]
Material: Al2PAu
Method: DFT, PBE
State: relaxed

Results
**SG**: I-42d
**Size of the total moment**: 0.000 μB per cell

a b c (Å): 6.152 6.152 6.290
angles (deg): 60.72 60.72 90.00
Atoms (fractional coordinates):
Al: 0.375 0.398 0.750
Al: 0.148 0.625 0.250
Al: 0.602 0.125 0.250
Al: 0.875 0.852 0.750
Au: 0.750 0.250 0.500
Au: 0.000 0.000 0.000
P: 0.250 0.750 0.500
P: 0.500 0.500 0.000

***

[6]
Material: Al2PAu
Method: DFT, PBE
State: relaxed

Results
**SG**: P4mm
**Size of the total moment**: 0.000 μB per cell

a b c (Å): 3.527 3.527 5.966
angles (deg): 90.00 90.00 90.00
Atoms (fractional coordinates):
Au: 0.000 0.000 0.421
Al: 0.000 0.000 0.868
Al: 0.500 0.500 0.304
P: 0.500 0.500 0.907

***

[7]
Material: AlPAu2
Method: DFT, PBE
State: relaxed

Results
**ΔE to the lowest computed polymorph**: 0.164 eV per formula unit
**SG**: Cmmm
**Size of the total moment**: 0.000 μB per cell

a b c (Å): 4.578 3.942 3.943
angles (deg): 89.84 90.00 90.00
Atoms (fractional coordinates):
Al: 0.500 0.750 0.750
Au: 0.000 0.502 0.502
Au: 0.000 0.998 0.998
P: 0.500 0.250 0.250

***

[8]
Material: Al2PAu
Method: DFT, PBE
State: relaxed

Results
**SG**: F-43m
**Size of the total moment**: 0.000 μB per cell

a b c (Å): 4.622 4.622 4.622
angles (deg): 60.00 60.00 60.00
Atoms (fractional coordinates):
P: 0.750 0.750 0.750
Al: 0.000 0.000 0.000
Al: 0.250 0.250 0.250
Au: 0.500 0.500 0.500

***

Taking the records one at a time from the top gives calculated volume values of 68; 70; 70; 68; 172; 74; 71; 70 Å³/cell.
Taking the records one at a time from the top gives raw total energy values of -4.184; -3.920; -4.322; -3.836; -4.250; -4.281; -3.953; -3.815 eV per atom.
Taking the records one at a time from the top gives calculated formation energy values of -54.5; 2.8; -107.6; 34.9; -79.7; -91.8; -10.1; 88.1 kJ/mol of formula units.